Record 1
Below is Nd2AlSe4 after structural relaxation, with properties calculated at the GGA-PBE level.

abc: 6.9635 6.8754 7.9468
angles: 90.00 106.62 90.00
Atoms (fractional coordinates):
Nd 0.2325 0.2500 0.0548
Nd 0.2364 0.2500 0.5623
Nd 0.7636 0.7500 0.4377
Nd 0.7675 0.7500 0.9452
Al 0.2481 0.7500 0.3119
Al 0.7519 0.2500 0.6881
Se 0.0024 0.0060 0.2506
Se 0.0024 0.4940 0.2506
Se 0.4240 0.7500 0.0971
Se 0.4273 0.7500 0.6145
Se 0.5727 0.2500 0.3855
Se 0.5760 0.2500 0.9029
Se 0.9976 0.5060 0.7494
Se 0.9976 0.9940 0.7494

Calculated values
As for the space group: No. 11. The energy relative to the elements, uncorrected comes out at -1.420 eV/atom.


Record 2
Below is AcPm2Cd3 after structural relaxation, with properties calculated at the GGA-PBE level.

abc: 3.9049 3.9049 11.7900
angles: 90.00 90.00 90.00
Atoms (fractional coordinates):
Ac 0.0000 0.0000 0.0000
Pm 0.0000 0.0000 0.3415
Pm 0.0000 0.0000 0.6585
Cd 0.5000 0.5000 0.1877
Cd 0.5000 0.5000 0.5000
Cd 0.5000 0.5000 0.8123

Calculated values
As for the space group: No. 123. The calculation puts the formation energy at -175 kJ/mol of formula units.


Record 3
Below is MgCoRu2Se after structural relaxation, with properties calculated at the GGA-PBE level.

abc: 4.5180 4.5180 4.7304
angles: 90.00 90.00 90.00
Atoms (fractional coordinates):
Mg 0.0000 0.0000 0.0000
Co 0.5000 0.5000 0.0000
Ru 0.0000 0.5000 0.5000
Ru 0.5000 0.0000 0.5000
Se 0.0000 0.0000 0.5000

Calculated values
As for the space group: No. 123. The energy relative to the elements, uncorrected comes out at 1.033 eV/atom.


Record 4
Below is Sc4Te2PS after structural relaxation, with properties calculated at the GGA-PBE level.

abc: 6.7173 3.8865 7.0085
angles: 90.00 108.69 90.00
Atoms (fractional coordinates):
Sc 0.2301 0.0000 0.2025
Sc 0.2628 0.5000 0.7985
Sc 0.7372 0.5000 0.2015
Sc 0.7699 0.0000 0.7975
Te 0.0000 0.0000 0.5000
Te 0.5000 0.5000 0.5000
P 0.0000 0.5000 0.0000
S 0.5000 0.0000 0.0000

Calculated values
As for the space group: No. 10. The energy relative to the elements, uncorrected comes out at -1.462 eV/atom.


Record 5
Below is CdI2O2 after structural relaxation, with properties calculated at the GGA-PBE level.

abc: 4.9309 4.9309 4.1671
angles: 90.00 90.00 90.00
Atoms (fractional coordinates):
Cd 0.0000 0.0000 0.0000
I 0.0000 0.5000 0.5000
I 0.5000 0.0000 0.5000
O 0.5000 0.5000 0.0000
O 0.5000 0.5000 0.5000

Calculated values
The calculation puts the polymorph energy (0 for the lowest one) at 582 meV/atom. As for the space group: No. 123. The energy relative to the elements, uncorrected comes out at 0.566 eV/atom.


Record 6
Below is Li3PmTm2S6 after structural relaxation, with properties calculated at the GGA-PBE level.

abc: 6.7847 6.7847 6.5756
angles: 99.85 99.85 120.03
Atoms (fractional coordinates):
Li 0.0000 0.0000 0.0000
Li 0.3298 0.6702 0.0000
Li 0.6702 0.3298 0.0000
Pm 0.5000 0.5000 0.5000
Tm 0.1665 0.8335 0.5000
Tm 0.8335 0.1665 0.5000
S 0.0734 0.4171 0.2505
S 0.2398 0.2398 0.7514
S 0.4171 0.0734 0.2505
S 0.5829 0.9266 0.7495
S 0.7602 0.7602 0.2486
S 0.9266 0.5829 0.7495

Calculated values
As for the space group: No. 12. The energy relative to the elements, uncorrected comes out at -1.837 eV/atom.